(1)
Computed, not measured: a geometry-optimized KZnFeTe3 structure at the PBE level of DFT. Values from VASP.

* total moment: 0.597 μB per atom
* crystal system: orthorhombic
* energy relative to the lowest polymorph listed for this composition: 0 meV per atom
* space group: Cmcm

Geometry as Quantum ESPRESSO input:
```
&SYSTEM
  ibrav = 0, nat = 12, ntyp = 4
/
ATOMIC_SPECIES
Fe 55.84 Fe.upf
Te 127.60 Te.upf
K 39.10 K.upf
Zn 65.41 Zn.upf
ATOMIC_POSITIONS angstrom
Fe 0.0000 0.0000 5.4195
Fe 0.0000 0.0000 0.0000
Te 2.0314 6.8674 2.7097
Te 2.0314 -1.8787 10.4381
Te 2.0314 1.8787 0.4009
Te 2.0314 1.8787 5.0186
Te 2.0314 -6.8674 8.1292
Te 2.0314 -1.8787 5.8204
K 2.0314 -4.1012 2.7097
K 2.0314 4.1012 8.1292
Zn 2.0314 -0.6287 8.1292
Zn 2.0314 0.6287 2.7097
CELL_PARAMETERS angstrom
2.0314 -7.9498 0.0000
2.0314 7.9498 0.0000
0.0000 0.0000 10.8390
```

***

(2)
Computed, not measured: a geometry-optimized GdMg2Cd structure at the PBE level of DFT. Values from VASP.

* total moment: 0.010 μB per atom
* crystal system: orthorhombic
* E: -2.288 eV per atom
* space group: Pmm2

Geometry as Quantum ESPRESSO input:
```
&SYSTEM
  ibrav = 0, nat = 4, ntyp = 3
/
ATOMIC_SPECIES
Mg 24.30 Mg.upf
Cd 112.41 Cd.upf
Gd 157.25 Gd.upf
ATOMIC_POSITIONS angstrom
Mg 0.5841 -2.0840 -1.0527
Mg 3.9470 -2.6656 -0.7918
Cd 2.0588 -2.3778 1.7623
Gd 2.6669 0.2221 -0.3349
CELL_PARAMETERS angstrom
-0.1948 -2.5937 -3.2721
3.9489 2.0439 -1.8553
2.7513 -3.1778 2.3552
```

***

(3)
Computed, not measured: a geometry-optimized Sr2AgH6Ir structure at the PBE level of DFT. Values from VASP.

* total moment: 0.000 μB per atom
* crystal system: monoclinic
* energy relative to the lowest polymorph listed for this composition: 0 meV per atom
* space group: P2_1

Geometry as Quantum ESPRESSO input:
```
&SYSTEM
  ibrav = 0, nat = 20, ntyp = 4
/
ATOMIC_SPECIES
Sr 87.62 Sr.upf
Ir 192.22 Ir.upf
H 1.01 H.upf
Ag 107.87 Ag.upf
ATOMIC_POSITIONS angstrom
Sr 3.3248 2.7631 2.4077
Sr 5.6107 0.0009 0.8126
Sr 1.0497 0.0023 3.9191
Sr -1.2362 2.7616 5.5142
Ir 4.4420 0.0020 3.9359
Ir -0.0675 2.7627 2.3909
H -1.2949 0.0000 5.3574
H 0.9211 2.7649 3.8027
H 3.4429 1.2561 4.6332
H 3.4534 0.0041 2.5241
H 1.0207 1.3706 6.3200
H 3.3538 4.1313 0.0068
H 0.9359 1.5088 1.6939
H 5.5405 1.3784 3.1630
H 5.6694 2.7607 0.9694
H 0.9315 4.0169 1.6936
H -1.1661 4.1392 3.1638
H 3.4386 4.2695 4.6329
Ag 2.2309 5.5200 0.7851
Ag 2.1435 2.7592 5.5417
CELL_PARAMETERS angstrom
6.7143 0.0000 0.0000
0.0000 5.5215 0.0000
-2.3399 0.0000 6.3268
```

***

(4)
Computed, not measured: a geometry-optimized Al2FeC structure at the PBE level of DFT. Values from VASP.

* total moment: 0.106 μB per atom
* crystal system: orthorhombic
* E: -6.196 eV per atom
* space group: Pnma

Geometry as Quantum ESPRESSO input:
```
&SYSTEM
  ibrav = 0, nat = 16, ntyp = 3
/
ATOMIC_SPECIES
Al 26.98 Al.upf
C 12.01 C.upf
Fe 55.84 Fe.upf
ATOMIC_POSITIONS angstrom
Al 3.7123 3.7440 4.6167
Al 1.2628 2.9598 0.5364
Al 1.2248 3.7440 3.1130
Al 3.7503 2.9598 2.0402
Al 3.7503 0.3921 2.0402
Al 1.2628 0.3921 0.5364
Al 3.7123 6.3116 4.6167
Al 1.2248 6.3116 3.1130
C 3.9984 5.0278 2.8861
C 3.4642 1.6759 0.3095
C 1.5109 5.0278 4.8436
C 0.9767 1.6759 2.2670
Fe 4.8620 1.6759 3.9256
Fe 0.1131 5.0278 1.2275
Fe 2.3744 1.6759 3.8041
Fe 2.6007 5.0278 1.3490
CELL_PARAMETERS angstrom
4.9751 0.0000 0.0000
0.0000 6.7038 0.0000
0.0000 0.0000 5.1531
```

***

(5)
Computed, not measured: a geometry-optimized Li2Hf structure at the PBE level of DFT. Values from VASP.

* total moment: 0.365 μB per atom
* crystal system: cubic
* energy relative to the lowest polymorph listed for this composition: 57 meV per atom
* space group: Fd-3m

Geometry as Quantum ESPRESSO input:
```
&SYSTEM
  ibrav = 0, nat = 6, ntyp = 2
/
ATOMIC_SPECIES
Hf 178.49 Hf.upf
Li 6.94 Li.upf
ATOMIC_POSITIONS angstrom
Hf 0.0000 0.0000 0.0000
Hf 1.8639 1.8639 1.8639
Li 2.7959 2.7959 4.6599
Li 2.7959 4.6599 2.7959
Li 4.6599 2.7959 2.7959
Li 4.6599 4.6599 4.6599
CELL_PARAMETERS angstrom
0.0000 3.7279 3.7279
3.7279 0.0000 3.7279
3.7279 3.7279 0.0000
```

***

(6)
Computed, not measured: a geometry-optimized LuAlPt structure at the PBE level of DFT. Values from VASP.

* total moment: 0.095 μB per atom
* crystal system: cubic
* E: -5.707 eV per atom
* space group: F-43m

Geometry as Quantum ESPRESSO input:
```
&SYSTEM
  ibrav = 0, nat = 3, ntyp = 3
/
ATOMIC_SPECIES
Lu 174.97 Lu.upf
Al 26.98 Al.upf
Pt 195.08 Pt.upf
ATOMIC_POSITIONS angstrom
Lu 2.7253 -7.1416 3.2515
Al 0.9084 -2.3805 1.0838
Pt 0.0000 0.0000 0.0000
CELL_PARAMETERS angstrom
3.6461 -2.2331 1.4711
-0.3445 -2.8265 3.5124
0.3321 -4.4626 -0.6481
```

***

(7)
Computed, not measured: a geometry-optimized Hf2GaNi structure at the PBE level of DFT. Values from VASP.

* total moment: 0.195 μB per atom
* crystal system: cubic
* E: -7.027 eV per atom
* space group: F-43m

Geometry as Quantum ESPRESSO input:
```
&SYSTEM
  ibrav = 0, nat = 4, ntyp = 3
/
ATOMIC_SPECIES
Ga 69.72 Ga.upf
Ni 58.69 Ni.upf
Hf 178.49 Hf.upf
ATOMIC_POSITIONS angstrom
Ga -4.4801 -3.3747 -0.7157
Ni -2.2400 -1.6874 -0.3578
Hf -6.7201 -5.0621 -1.0735
Hf 0.0000 0.0000 0.0000
CELL_PARAMETERS angstrom
-1.4232 -4.0839 -1.6157
-3.3810 -2.2854 2.1588
-4.1559 -0.3801 -1.9745
```

***

(8)
Computed, not measured: a geometry-optimized La2NdZn2Si4Au2 structure at the PBE level of DFT. Values from VASP.

* total moment: 0.001 μB per atom
* crystal system: orthorhombic
* energy relative to the lowest polymorph listed for this composition: 0 meV per atom
* space group: Immm

Geometry as Quantum ESPRESSO input:
```
&SYSTEM
  ibrav = 0, nat = 11, ntyp = 5
/
ATOMIC_SPECIES
Si 28.09 Si.upf
Nd 144.24 Nd.upf
Zn 65.41 Zn.upf
La 138.91 La.upf
Au 196.97 Au.upf
ATOMIC_POSITIONS angstrom
Si 0.0000 0.0000 13.7652
Si 0.0000 0.0000 11.4022
Si 0.0000 2.1534 7.7057
Si 2.1282 0.0000 4.8779
Nd 0.0000 0.0000 0.0000
Zn 0.0000 0.0000 18.8840
Zn 0.0000 0.0000 6.2834
La 2.1282 0.0000 8.8491
La 0.0000 2.1534 3.7346
Au 0.0000 2.1534 10.1924
Au 2.1282 0.0000 2.3913
CELL_PARAMETERS angstrom
-2.1282 2.1534 12.5837
2.1282 -2.1534 12.5837
2.1282 2.1534 -12.5837
```

***

(9)
Computed, not measured: a geometry-optimized CsGdBeSe3 structure at the PBE level of DFT. Values from VASP.

* total moment: 0.000 μB per atom
* crystal system: orthorhombic
* E: -4.699 eV per atom
* space group: Cmcm

Geometry as Quantum ESPRESSO input:
```
&SYSTEM
  ibrav = 0, nat = 12, ntyp = 4
/
ATOMIC_SPECIES
Be 9.01 Be.upf
Gd 157.25 Gd.upf
Se 78.96 Se.upf
Cs 132.91 Cs.upf
ATOMIC_POSITIONS angstrom
Be -6.4114 1.7577 9.1359
Be 6.8281 4.4663 0.7983
Gd -0.6061 1.9216 -0.3381
Gd 0.2084 3.1120 4.9671
Se -5.0024 2.4796 10.7130
Se 0.5376 2.7211 2.1556
Se -0.1209 3.5029 7.7787
Se -5.5615 1.6625 7.0715
Se 5.9783 4.5615 2.8628
Se 5.4192 3.7444 -0.7788
Cs -4.1902 1.4095 3.1757
Cs 4.6069 4.8145 6.7586
CELL_PARAMETERS angstrom
7.0259 4.0390 -1.9848
-8.2381 -0.1957 1.3086
1.6289 2.3807 10.6105
```

***

(10)
Computed, not measured: a geometry-optimized LaPr2In3PtAu2 structure at the PBE level of DFT. Values from VASP.

* total moment: 0.000 μB per atom
* crystal system: orthorhombic
* E: -4.734 eV per atom
* space group: Amm2

Geometry as Quantum ESPRESSO input:
```
&SYSTEM
  ibrav = 0, nat = 9, ntyp = 5
/
ATOMIC_SPECIES
La 138.91 La.upf
Pr 140.91 Pr.upf
Pt 195.08 Pt.upf
In 114.82 In.upf
Au 196.97 Au.upf
ATOMIC_POSITIONS angstrom
La 1.8673 3.2627 2.7986
Pr 2.2209 -0.8220 2.1529
Pr -0.9473 3.0473 -0.2442
Pt 0.0006 0.0011 0.0009
In 2.6402 -1.8658 5.3962
In -3.2355 5.3103 0.9506
In -0.7081 1.0051 2.5583
Au -1.2200 3.9959 2.7624
Au 1.3976 0.7991 4.7428
CELL_PARAMETERS angstrom
-2.9663 -0.6983 2.7934
5.4820 -2.0289 5.3142
-2.3382 7.5219 -0.6027
```

***

(11)
Computed, not measured: a geometry-optimized SrCdCo2 structure at the PBE level of DFT. Values from VASP.

* total moment: 0.791 μB per atom
* crystal system: cubic
* E: -3.563 eV per atom
* space group: F-43m

Geometry as Quantum ESPRESSO input:
```
&SYSTEM
  ibrav = 0, nat = 4, ntyp = 3
/
ATOMIC_SPECIES
Co 58.93 Co.upf
Sr 87.62 Sr.upf
Cd 112.41 Cd.upf
ATOMIC_POSITIONS angstrom
Co -5.3882 -1.2455 1.9812
Co -2.6941 -0.6227 0.9906
Sr 0.0000 0.0000 0.0000
Cd -8.0823 -1.8682 2.9718
CELL_PARAMETERS angstrom
-2.6384 -0.8210 3.9206
-4.5491 1.5087 0.1886
-3.5889 -3.1787 -0.1468
```

***

(12)
Computed, not measured: a geometry-optimized NaGaCo structure at the PBE level of DFT. Values from VASP.

* total moment: 0.124 μB per atom
* crystal system: cubic
* E: -3.280 eV per atom
* space group: F-43m

Geometry as Quantum ESPRESSO input:
```
&SYSTEM
  ibrav = 0, nat = 3, ntyp = 3
/
ATOMIC_SPECIES
Ga 69.72 Ga.upf
Co 58.93 Co.upf
Na 22.99 Na.upf
ATOMIC_POSITIONS angstrom
Ga 1.6247 -0.4885 1.9840
Co 0.0000 0.0000 0.0000
Na 4.8740 -1.4655 5.9520
CELL_PARAMETERS angstrom
3.9466 -1.2254 1.0460
1.9131 1.6696 3.4241
0.6389 -2.3982 3.4659
```

***

> What is the total moment in the twelfth record?

0.124 μB per atom